Here is TlZnNi2 after structural relaxation from Alexandria. Energies are from PBE-GGA.

Lattice parameters (Å, degrees): 3.9881 3.9881 9.0149 77.22 77.22 90.00
Element x y z (fractional)
Ni 0.5532 0.1250 0.2500
Ni 0.1968 0.6250 0.2500
Ni 0.3750 0.4468 0.7500
Ni 0.8750 0.8032 0.7500
Tl 0.0000 0.0000 0.0000
Tl 0.7500 0.2500 0.5000
Zn 0.5000 0.5000 0.0000
Zn 0.2500 0.7500 0.5000

Computed properties:
DFT total energy: -3.401 eV/atom
Fermi-level density of states: 2.24 states/eV/f.u.
Space group: No. 122
Formation energy from the elements: 1.600 eV per formula unit
Mass density: 9.4 Mg/m³
Total magnetization: 0.000 Bohr magnetons per cell
Energy above the lowest structure with this stoichiometry: 116 kJ/mol of formula units